(1)
Computed, not measured: a relaxed Tb2Al7 crystal at the PBE-GGA level of DFT.

a = 13.6806 Å, b = 13.6806 Å, c = 13.6806 Å
α = 23.31°, β = 23.31°, γ = 23.31°
Fractional positions:
Tb  0.0532  0.0532  0.0532
Tb  0.1498  0.1498  0.1498
Tb  0.8502  0.8502  0.8502
Tb  0.9468  0.9468  0.9468
Al  0.0000  0.5000  0.5000
Al  0.1062  0.6132  0.6132
Al  0.2786  0.2786  0.2786
Al  0.3868  0.3868  0.8938
Al  0.3868  0.8938  0.3868
Al  0.3889  0.3889  0.3889
Al  0.5000  0.0000  0.5000
Al  0.5000  0.5000  0.0000
Al  0.5000  0.5000  0.5000
Al  0.6111  0.6111  0.6111
Al  0.6132  0.1062  0.6132
Al  0.6132  0.6132  0.1062
Al  0.7214  0.7214  0.7214
Al  0.8938  0.3868  0.3868

Calculated values
E_form = -308.3 meV per atom
Final energy = -4.25 eV per atom
DOS at the Fermi energy = 4.50 states/eV/f.u.
Crystal system = trigonal
Total moment = 0.00 μB per cell

=====

(2)
Computed, not measured: a relaxed La6CuRu2I3 crystal at the PBE-GGA level of DFT.

a = 7.3513 Å, b = 7.3513 Å, c = 8.6588 Å
α = 98.12°, β = 98.12°, γ = 120.01°
Fractional positions:
La  0.0883  0.4378  0.8134
La  0.2126  0.2126  0.1861
La  0.4378  0.0883  0.8134
La  0.5622  0.9117  0.1866
La  0.7874  0.7874  0.8139
La  0.9117  0.5622  0.1866
Cu  0.5000  0.5000  0.0000
Ru  0.1666  0.8334  0.0000
Ru  0.8334  0.1666  0.0000
I  0.0000  0.0000  0.5000
I  0.3344  0.6656  0.5000
I  0.6656  0.3344  0.5000

Calculated values
Final energy = -5.51 eV per atom
Energy relative to the elements, uncorrected = -0.773 eV per atom
DOS at the Fermi energy = 3.30 states/eV/f.u.
Crystal system = monoclinic
Total moment = 0.00 μB per cell

=====

(3)
Computed, not measured: a relaxed LiNiSe2 crystal at the PBE-GGA level of DFT.

a = 3.9558 Å, b = 3.9558 Å, c = 6.9748 Å
α = 90.00°, β = 90.00°, γ = 127.96°
Fractional positions:
Li  0.0000  0.0000  0.0000
Ni  0.0000  0.0000  0.5000
Se  0.5000  0.5000  0.2813
Se  0.5000  0.5000  0.7187

Calculated values
Final energy = -4.00 eV per atom
Energy relative to the elements, uncorrected = -0.330 eV per atom
DOS at the Fermi energy = 2.33 states/eV/f.u.
Crystal system = orthorhombic
Total moment = 0.00 μB per cell

=====

(4)
Computed, not measured: a relaxed LiEuPuGe crystal at the PBE-GGA level of DFT.

a = 5.1934 Å, b = 5.1934 Å, c = 5.1934 Å
α = 60.00°, β = 60.00°, γ = 60.00°
Fractional positions:
Li  0.0000  0.0000  0.0000
Eu  0.7500  0.7500  0.7500
Pu  0.2500  0.2500  0.2500
Ge  0.5000  0.5000  0.5000

Calculated values
E_form = -135.7 meV per atom
Final energy = -7.92 eV per atom
DOS at the Fermi energy = 17.97 states/eV/f.u.
Crystal system = cubic
Total moment = 1.03 μB per cell